Li2PrEr | PBE | optimized geometry

magnetic moment: 0.00 μB/cell
SG: R-3m (166)
uncorrected energy: -3.003 eV per atom
ΔE_f: 1.2 eV/f.u.
energy above the most stable polymorph in this dataset: 140 meV per atom

a = 3.3504 Å, b = 3.3504 Å, c = 12.1415 Å
α = 82.07°, β = 82.07°, γ = 60.00°
Sites, in units of the cell vectors:
1 Er 0.0000 0.0000 0.0000
2 Li 0.9133 0.9133 0.2602
3 Li 0.0867 0.0867 0.7398
4 Pr 0.5000 0.5000 0.5000


KP2PdPt | PBE | optimized geometry

magnetic moment: 0.00 μB/cell
SG: P4/mmm (123)
uncorrected energy: -2.496 eV per atom
ΔE_f: 10.7 eV/f.u.

a = 5.0762 Å, b = 4.6932 Å, c = 5.0762 Å
α = 90.00°, β = 90.00°, γ = 90.00°
Sites, in units of the cell vectors:
1 P 0.5000 0.0000 0.0000
2 P 0.0000 0.0000 0.5000
3 Pt 0.5000 0.5000 0.5000
4 Pd 0.0000 0.5000 0.0000
5 K 0.0000 0.0000 0.0000


AcH8Pd2 | PBE | optimized geometry

magnetic moment: 0.00 μB/cell
SG: C2/m (12)
uncorrected energy: -3.904 eV per atom

a = 4.8859 Å, b = 4.8859 Å, c = 7.3676 Å
α = 116.60°, β = 116.60°, γ = 56.50°
Sites, in units of the cell vectors:
1 H 0.7421 0.5482 0.7323
2 H 0.6295 0.6295 0.1374
3 H 0.5482 0.7421 0.7323
4 H 0.2579 0.4518 0.2677
5 H 0.4518 0.2579 0.2677
6 H 0.0885 0.0885 0.4211
7 H 0.9115 0.9115 0.5789
8 H 0.3705 0.3705 0.8626
9 Pd 0.1445 0.1445 0.7068
10 Pd 0.8555 0.8555 0.2932
11 Ac 0.0000 0.0000 0.0000


FeCoNi2 | PBE | optimized geometry

magnetic moment: 5.56 μB/cell
SG: Pmm2 (25)
uncorrected energy: -6.806 eV per atom
ΔE_f: -0.1 eV/f.u.

a = 2.4902 Å, b = 3.5358 Å, c = 5.0488 Å
α = 90.00°, β = 90.00°, γ = 90.00°
Last column: magnetic moment on the atom in μB.
Sites, in units of the cell vectors:
1 Co 0.0000 0.0000 0.4926  1.66
2 Ni 0.5000 0.5000 0.2530  0.70
3 Ni 0.0000 0.0000 0.0017  0.65
4 Fe 0.5000 0.5000 0.7526  2.67


ReMo2RuCl | PBE | optimized geometry

magnetic moment: 0.00 μB/cell
SG: P4/mmm (123)
uncorrected energy: -7.018 eV per atom
formation energy without anion corrections: 2.029 eV/atom

a = 4.8117 Å, b = 4.3857 Å, c = 4.8117 Å
α = 90.00°, β = 90.00°, γ = 90.00°
Sites, in units of the cell vectors:
1 Mo 0.5000 0.0000 0.0000
2 Mo 0.0000 0.0000 0.5000
3 Ru 0.5000 0.5000 0.5000
4 Re 0.0000 0.0000 0.0000
5 Cl 0.0000 0.5000 0.0000


Sm4Dy5Mg2 | PBE | optimized geometry

magnetic moment: 0.00 μB/cell
SG: P2/m (10)
uncorrected energy: -4.017 eV per atom
ΔE_f: 0.9 eV/f.u.
energy above the most stable polymorph in this dataset: 44 meV per atom

a = 3.4515 Å, b = 8.7082 Å, c = 11.4689 Å
α = 93.88°, β = 90.00°, γ = 90.00°
Sites, in units of the cell vectors:
1 Dy 0.0000 0.2059 0.1690
2 Dy 0.0000 0.7941 0.8310
3 Dy 0.0000 0.5738 0.2921
4 Dy 0.0000 0.5000 0.0000
5 Dy 0.0000 0.4262 0.7079
6 Mg 0.0000 0.9485 0.3689
7 Mg 0.0000 0.0515 0.6311
8 Sm 0.5000 0.8528 0.1116
9 Sm 0.5000 0.1472 0.8884
10 Sm 0.5000 0.2903 0.4511
11 Sm 0.5000 0.7097 0.5489